1.
! PBE HgC2S, optimized geometry; values from VASP
! ΔE to the lowest computed polymorph ... 1329 meV/atom
! Energy relative to the elements, uncorrected ... 2873 meV/atom
&SYSTEM
  ibrav = 0, nat = 4, ntyp = 3
/
ATOMIC_SPECIES
C 12.01 C.upf
Hg 200.59 Hg.upf
S 32.06 S.upf
CELL_PARAMETERS angstrom
0.0000 2.9814 2.9814
2.9814 0.0000 2.9814
2.9814 2.9814 0.0000
ATOMIC_POSITIONS angstrom
C 1.4907 1.4907 1.4907
C 4.4721 4.4721 4.4721
Hg 2.9814 2.9814 2.9814
S 0.0000 0.0000 0.0000

***

2.
! PBE HgCS2, optimized geometry; values from VASP
! ΔE to the lowest computed polymorph ... 1669 meV/atom
! Energy relative to the elements, uncorrected ... 1910 meV/atom
&SYSTEM
  ibrav = 0, nat = 4, ntyp = 3
/
ATOMIC_SPECIES
Hg 200.59 Hg.upf
S 32.06 S.upf
C 12.01 C.upf
CELL_PARAMETERS angstrom
0.0000 3.2116 3.2116
3.2116 0.0000 3.2116
3.2116 3.2116 0.0000
ATOMIC_POSITIONS angstrom
Hg 3.2116 3.2116 3.2116
S 4.8174 4.8174 4.8174
S 1.6058 1.6058 1.6058
C 0.0000 0.0000 0.0000

***

3.
! PBE Hg2CS, optimized geometry; values from VASP
! ΔE to the lowest computed polymorph ... 626 meV/atom
! Energy relative to the elements, uncorrected ... 1719 meV/atom
&SYSTEM
  ibrav = 0, nat = 4, ntyp = 3
/
ATOMIC_SPECIES
Hg 200.59 Hg.upf
S 32.06 S.upf
C 12.01 C.upf
CELL_PARAMETERS angstrom
-1.1378 -3.7716 -2.6353
-4.0787 -2.2873 0.7724
-3.5173 0.2933 -3.1633
ATOMIC_POSITIONS angstrom
Hg -6.5504 -4.3241 -3.7696
Hg -2.1835 -1.4414 -1.2565
S -4.3669 -2.8828 -2.5131
C 0.0000 0.0000 0.0000

***

4.
! PBE HgCS2, optimized geometry; values from VASP
! ΔE to the lowest computed polymorph ... 636 meV/atom
! Energy relative to the elements, uncorrected ... 876 meV/atom
&SYSTEM
  ibrav = 0, nat = 8, ntyp = 3
/
ATOMIC_SPECIES
S 32.06 S.upf
C 12.01 C.upf
Hg 200.59 Hg.upf
CELL_PARAMETERS angstrom
6.2312 0.0000 0.0000
0.0000 6.2312 0.0000
3.1156 3.1156 3.7345
ATOMIC_POSITIONS angstrom
S 2.4368 4.6734 0.9336
S 3.7944 1.5578 0.9336
S 4.6734 5.5524 2.8009
S 7.7890 6.9100 2.8009
C 3.1156 6.2312 1.8673
C 3.1156 3.1156 0.0000
Hg 6.2312 3.1156 1.8673
Hg 0.0000 0.0000 0.0000

***

5.
! PBE SiHg2CS, optimized geometry; values from VASP
! Energy relative to the elements, uncorrected ... 975 meV/atom
&SYSTEM
  ibrav = 0, nat = 5, ntyp = 4
/
ATOMIC_SPECIES
C 12.01 C.upf
Hg 200.59 Hg.upf
Si 28.09 Si.upf
S 32.06 S.upf
CELL_PARAMETERS angstrom
5.0164 0.0000 0.0000
0.0000 3.7476 0.0000
0.0000 0.0000 5.0164
ATOMIC_POSITIONS angstrom
C 0.0000 0.0000 0.0000
Hg 2.5082 0.0000 0.0000
Hg 0.0000 0.0000 2.5082
Si 0.0000 1.8738 0.0000
S 2.5082 1.8738 2.5082

***

6.
! PBE Sm8Hg4CS3, optimized geometry; values from VASP
! Energy relative to the elements, uncorrected ... -1001 meV/atom
&SYSTEM
  ibrav = 0, nat = 16, ntyp = 4
/
ATOMIC_SPECIES
Sm 150.36 Sm.upf
Hg 200.59 Hg.upf
S 32.06 S.upf
C 12.01 C.upf
CELL_PARAMETERS angstrom
7.8708 0.0000 0.0000
0.0000 8.9254 0.7448
-3.9354 -3.9345 5.5639
ATOMIC_POSITIONS angstrom
Sm 0.0000 4.4974 2.9751
Sm 0.0000 0.5147 3.1448
Sm 2.1126 2.3864 5.9621
Sm 3.9354 0.4935 3.3337
Sm 6.0480 2.6045 0.3467
Sm -2.1126 2.3864 5.9621
Sm 3.9354 4.4761 3.1640
Sm 1.8228 2.6045 0.3467
Hg 1.9677 -1.9673 2.7820
Hg 0.0000 0.0000 0.0000
Hg -1.9677 -1.9673 2.7820
Hg 3.9354 0.0000 0.0000
S 3.9354 4.4627 0.3724
S -1.9677 2.4954 3.1544
S 1.9677 2.4954 3.1544
C 0.0000 4.4627 0.3724

***

7.
! PBE TaHgCS2, optimized geometry; values from VASP
! Energy relative to the elements, uncorrected ... 1234 meV/atom
&SYSTEM
  ibrav = 0, nat = 5, ntyp = 4
/
ATOMIC_SPECIES
Ta 180.95 Ta.upf
Hg 200.59 Hg.upf
S 32.06 S.upf
C 12.01 C.upf
CELL_PARAMETERS angstrom
4.6975 0.0000 0.0000
0.0000 4.6975 0.0000
0.0000 0.0000 5.7216
ATOMIC_POSITIONS angstrom
Ta 0.0000 0.0000 0.0000
Hg 0.0000 0.0000 2.8608
S 0.0000 2.3487 0.0000
S 2.3487 0.0000 0.0000
C 2.3487 2.3487 2.8608

***

8.
! PBE Tb6HgC3S2, optimized geometry; values from VASP
! Energy relative to the elements, uncorrected ... -895 meV/atom
&SYSTEM
  ibrav = 0, nat = 12, ntyp = 4
/
ATOMIC_SPECIES
Tb 158.93 Tb.upf
Hg 200.59 Hg.upf
C 12.01 C.upf
S 32.06 S.upf
CELL_PARAMETERS angstrom
-0.2701 3.4498 1.4229
-7.9686 -0.5588 -0.1580
2.8514 -4.6224 6.8291
ATOMIC_POSITIONS angstrom
Tb -5.7499 -2.3739 4.6636
Tb 0.3626 0.6423 3.4305
Tb 0.1899 -1.2641 8.0196
Tb -4.0524 0.4439 3.0735
Tb -5.5772 -0.4675 0.0745
Tb -1.3349 -2.1754 5.0206
Hg -0.1351 1.7249 0.7115
C -5.6848 -1.4442 2.4220
C 0.2975 -0.2874 5.6721
C -4.1194 1.4455 0.6325
S -3.6800 -0.6103 5.7000
S -1.7072 -1.1212 2.3941

***

9.
! PBE Tb6Hg3C2S, optimized geometry; values from VASP
! Energy relative to the elements, uncorrected ... -672 meV/atom
&SYSTEM
  ibrav = 0, nat = 12, ntyp = 4
/
ATOMIC_SPECIES
Hg 200.59 Hg.upf
Tb 158.93 Tb.upf
S 32.06 S.upf
C 12.01 C.upf
CELL_PARAMETERS angstrom
6.4708 0.0066 0.0075
-3.2281 5.6081 0.0075
-1.0724 -1.8569 7.6700
ATOMIC_POSITIONS angstrom
Hg -2.3053 3.8370 3.8425
Hg 1.0851 1.8789 3.8425
Hg 4.4756 -0.0792 3.8425
Tb 2.3243 -0.0062 1.4495
Tb -0.1540 3.7640 6.2356
Tb 3.3372 1.7477 6.2356
Tb -1.1669 2.0101 1.4495
Tb 0.0901 0.1560 6.2798
Tb 2.0802 3.6019 1.4053
S 0.0000 0.0000 0.0000
C -0.0098 3.7494 0.0075
C 3.2525 1.8653 0.0075

***

10.
! PBE Tm6HgC3S2, optimized geometry; values from VASP
! Energy relative to the elements, uncorrected ... -945 meV/atom
&SYSTEM
  ibrav = 0, nat = 12, ntyp = 4
/
ATOMIC_SPECIES
Tm 168.93 Tm.upf
C 12.01 C.upf
Hg 200.59 Hg.upf
S 32.06 S.upf
CELL_PARAMETERS angstrom
-1.3185 -3.4039 0.1472
1.7313 -0.9978 -7.5660
7.2568 -0.6557 4.5032
ATOMIC_POSITIONS angstrom
Tm 1.8348 -2.6154 1.2911
Tm 1.4075 -0.7716 -5.2363
Tm 2.5199 -3.0670 -3.0168
Tm 5.8347 -2.4420 -4.2067
Tm 6.2621 -4.2858 2.3207
Tm 5.1496 -1.9904 0.1012
C 0.2064 -2.2008 -3.7094
C 3.6696 -1.6255 -4.7185
C 4.0000 -3.4319 1.8029
Hg -0.6593 -1.7019 0.0736
S 2.7024 -1.0888 -0.9711
S 4.9672 -3.9686 -1.9445

***

11.
! PBE Y6HgC3S2, optimized geometry; values from VASP
! Energy relative to the elements, uncorrected ... -912 meV/atom
&SYSTEM
  ibrav = 0, nat = 12, ntyp = 4
/
ATOMIC_SPECIES
C 12.01 C.upf
Y 88.91 Y.upf
S 32.06 S.upf
Hg 200.59 Hg.upf
CELL_PARAMETERS angstrom
3.7285 0.0000 0.0000
0.0000 7.9639 -0.0365
-1.8642 -2.6265 8.0911
ATOMIC_POSITIONS angstrom
C 1.8642 -0.3749 5.3461
C 0.0000 5.7123 2.7085
C 1.8642 3.9819 -0.0182
Y 1.8642 -0.4711 2.9291
Y 1.8643 -0.2399 7.8754
Y 0.0000 5.8085 5.1256
Y 1.8642 3.9543 2.6019
Y 0.0000 5.5773 0.1792
Y 0.0000 1.3831 5.4527
S 1.8642 3.6018 5.4413
S 0.0000 1.7356 2.6133
Hg 1.8642 0.0000 0.0000

***

12.
! PBE YHgC2S, optimized geometry; values from VASP
! Energy relative to the elements, uncorrected ... 1774 meV/atom
&SYSTEM
  ibrav = 0, nat = 5, ntyp = 4
/
ATOMIC_SPECIES
C 12.01 C.upf
S 32.06 S.upf
Y 88.91 Y.upf
Hg 200.59 Hg.upf
CELL_PARAMETERS angstrom
-1.4755 3.8909 0.1318
-4.2681 -1.6722 1.5852
1.3171 0.3663 3.9326
ATOMIC_POSITIONS angstrom
C -0.7377 1.9455 0.0659
C 0.6586 0.1832 1.9663
S 0.0000 0.0000 0.0000
Y -2.2133 1.2925 2.8248
Hg -2.1341 -0.8361 0.7926

***

13.
! PBE Hg2SbC2, optimized geometry; values from VASP
! ΔE to the lowest computed polymorph ... 294 meV/atom
! Energy relative to the elements, uncorrected ... 1696 meV/atom
&SYSTEM
  ibrav = 0, nat = 10, ntyp = 3
/
ATOMIC_SPECIES
Hg 200.59 Hg.upf
Sb 121.76 Sb.upf
C 12.01 C.upf
CELL_PARAMETERS angstrom
6.8246 0.0000 0.0000
0.0000 6.8246 0.0000
0.0000 0.0000 4.1962
ATOMIC_POSITIONS angstrom
Hg 4.4489 5.7880 2.0981
Hg 1.0366 4.4489 2.0981
Hg 5.7880 2.3757 2.0981
Hg 2.3757 1.0366 2.0981
Sb 3.4123 3.4123 0.0000
Sb 0.0000 0.0000 0.0000
C 4.8315 5.4054 0.0000
C 1.9931 1.4192 0.0000
C 5.4054 1.9931 0.0000
C 1.4192 4.8315 0.0000

***

14.
! PBE HgSb2C, optimized geometry; values from VASP
! ΔE to the lowest computed polymorph ... 0 meV/atom
! Energy relative to the elements, uncorrected ... 754 meV/atom
&SYSTEM
  ibrav = 0, nat = 8, ntyp = 3
/
ATOMIC_SPECIES
Sb 121.76 Sb.upf
C 12.01 C.upf
Hg 200.59 Hg.upf
CELL_PARAMETERS angstrom
6.1072 0.0000 0.0000
0.0000 6.1072 0.0000
3.0536 3.0536 5.2740
ATOMIC_POSITIONS angstrom
Sb 1.9955 4.5804 1.3185
Sb 4.5804 5.0491 3.9555
Sb 4.1117 1.5268 1.3185
Sb 7.6340 7.1653 3.9555
C 3.0536 3.0536 0.0000
C 3.0536 6.1072 2.6370
Hg 6.1072 3.0536 2.6370
Hg 0.0000 0.0000 0.0000

***

15.
! PBE Hg2SbC2, optimized geometry; values from VASP
! ΔE to the lowest computed polymorph ... 0 meV/atom
! Energy relative to the elements, uncorrected ... 1402 meV/atom
&SYSTEM
  ibrav = 0, nat = 5, ntyp = 3
/
ATOMIC_SPECIES
C 12.01 C.upf
Sb 121.76 Sb.upf
Hg 200.59 Hg.upf
CELL_PARAMETERS angstrom
-1.7840 2.2210 -3.7421
-4.1096 0.4699 2.2381
-1.6255 5.1490 0.8755
ATOMIC_POSITIONS angstrom
C -4.7708 5.9231 -0.1210
C -2.7483 1.9168 -0.5076
Sb 0.0000 0.0000 0.0000
Hg -3.1782 4.3577 -1.8094
Hg -4.3410 3.4822 1.1808

***

16.
! PBE HgSb2C, optimized geometry; values from VASP
! ΔE to the lowest computed polymorph ... 732 meV/atom
! Energy relative to the elements, uncorrected ... 1486 meV/atom
&SYSTEM
  ibrav = 0, nat = 4, ntyp = 3
/
ATOMIC_SPECIES
Sb 121.76 Sb.upf
Hg 200.59 Hg.upf
C 12.01 C.upf
CELL_PARAMETERS angstrom
-3.1876 1.4215 3.5086
-4.4766 1.6912 -1.2619
-4.0269 -2.7210 0.9342
ATOMIC_POSITIONS angstrom
Sb -2.9228 0.0979 0.7952
Sb -8.7683 0.2938 2.3857
Hg -5.8455 0.1959 1.5904
C 0.0000 0.0000 0.0000

***

17.
! PBE HgSbC2, optimized geometry; values from VASP
! ΔE to the lowest computed polymorph ... 0 meV/atom
! Energy relative to the elements, uncorrected ... 1507 meV/atom
&SYSTEM
  ibrav = 0, nat = 8, ntyp = 3
/
ATOMIC_SPECIES
Sb 121.76 Sb.upf
C 12.01 C.upf
Hg 200.59 Hg.upf
CELL_PARAMETERS angstrom
-1.6910 0.4899 4.9152
1.1572 -5.0114 0.8976
4.3368 -0.9376 4.3583
ATOMIC_POSITIONS angstrom
Sb 2.6136 -4.1049 4.0812
Sb -0.2669 -2.2607 2.9064
C 1.5552 -3.2934 2.3838
C 0.2129 -0.5665 4.1550
C 2.7576 -4.5383 8.3332
C 3.0805 -2.5199 5.4702
Hg 0.0000 0.0000 0.0000
Hg 1.1895 -1.3542 6.0900

***

18.
! PBE HgSbC2, optimized geometry; values from VASP
! ΔE to the lowest computed polymorph ... 934 meV/atom
! Energy relative to the elements, uncorrected ... 2441 meV/atom
&SYSTEM
  ibrav = 0, nat = 4, ntyp = 3
/
ATOMIC_SPECIES
Sb 121.76 Sb.upf
C 12.01 C.upf
Hg 200.59 Hg.upf
CELL_PARAMETERS angstrom
1.0003 -3.9207 1.7513
-2.5215 -1.6953 3.1950
-2.5509 -3.4996 -0.8278
ATOMIC_POSITIONS angstrom
Sb 0.0000 0.0000 0.0000
C -1.0180 -2.2789 1.0296
C -3.0540 -6.8367 3.0888
Hg -2.0360 -4.5578 2.0592

***

19.
! PBE Sc4HgSbC, optimized geometry; values from VASP
! Energy relative to the elements, uncorrected ... -667 meV/atom
&SYSTEM
  ibrav = 0, nat = 14, ntyp = 4
/
ATOMIC_SPECIES
Sc 44.96 Sc.upf
C 12.01 C.upf
Sb 121.76 Sb.upf
Hg 200.59 Hg.upf
CELL_PARAMETERS angstrom
6.3392 0.0000 0.0000
0.0000 6.3137 0.0000
-3.1696 0.0000 7.3343
ATOMIC_POSITIONS angstrom
Sc 3.1696 1.5784 1.3959
Sc -1.5848 3.1568 3.6672
Sc 3.1696 1.5784 6.0245
Sc 0.0000 4.7353 1.3098
Sc 1.5848 3.1568 3.6672
Sc 1.5848 0.0000 3.6672
Sc 0.0000 4.7353 5.9384
Sc -1.5848 0.0000 3.6672
C 0.0000 4.7353 3.6544
C 3.1696 1.5784 3.6799
Sb 0.0000 1.5784 5.7559
Sb 3.1696 4.7353 1.5785
Hg 0.0000 1.5784 1.6303
Hg 3.1696 4.7353 5.7040

***

20.
! PBE Hg2SbCSe, optimized geometry; values from VASP
! Energy relative to the elements, uncorrected ... 963 meV/atom
&SYSTEM
  ibrav = 0, nat = 5, ntyp = 4
/
ATOMIC_SPECIES
Hg 200.59 Hg.upf
Se 78.96 Se.upf
Sb 121.76 Sb.upf
C 12.01 C.upf
CELL_PARAMETERS angstrom
-4.4533 0.3801 -0.5167
0.0259 -4.2174 -3.3254
-0.6411 -2.7598 3.4950
ATOMIC_POSITIONS angstrom
Hg -0.3206 -1.3799 1.7475
Hg -2.2266 0.1900 -0.2584
Se 0.0130 -2.1087 -1.6627
Sb -2.5342 -3.2985 -0.1736
C 0.0000 0.0000 0.0000